Mn3TlCl8 after structural relaxation, computed with PBE-GGA.

Cell and atoms, written as extended XYZ:
```
12
Lattice="6.682 -3.859 0.000 6.682 3.859 0.000 -4.559 0.000 6.345" Properties=species:S:1:pos:R:3 pbc="T T T"
Mn 0.000 0.000 0.000
Mn 3.341 1.929 0.000
Mn 3.341 -1.929 0.000
Tl 6.682 0.000 0.000
Cl 5.465 2.109 1.404
Cl 2.227 0.000 1.377
Cl -0.312 0.000 4.941
Cl 3.339 2.109 4.941
Cl 5.465 -2.109 1.404
Cl 9.117 0.000 1.404
Cl 6.577 0.000 4.968
Cl 3.339 -2.109 4.941
```

Summary:
**E_tot**: -4.68 eV/atom
**N(E_F)**: 2.756 states/eV/f.u.
**ΔE_f (raw)**: -0.957 eV/atom
**Total magnetic moment**: 14.39 μB/f.u.
**Space group**: C2/m (12)